1.
VASP calculation (GGA-PBE) on a relaxed TlZn3 crystal.

a b c (Å): 4.238 4.238 4.238
angles (deg): 90.00 90.00 90.00
Fractional positions:
Tl (0.000, 0.000, 0.000)
Zn (0.000, 0.500, 0.500)
Zn (0.500, 0.000, 0.500)
Zn (0.500, 0.500, 0.000)

Results
Space group   Pm-3m (221)

2.
VASP calculation (GGA-PBE) on a relaxed TlZn2 crystal.

a b c (Å): 5.492 5.492 9.393
angles (deg): 90.00 90.00 120.00
Fractional positions:
Tl (0.333, 0.667, 0.067)
Tl (0.333, 0.667, 0.433)
Tl (0.667, 0.333, 0.567)
Tl (0.667, 0.333, 0.933)
Zn (0.000, 0.000, 0.000)
Zn (0.000, 0.000, 0.500)
Zn (0.168, 0.336, 0.750)
Zn (0.168, 0.832, 0.750)
Zn (0.336, 0.168, 0.250)
Zn (0.664, 0.832, 0.750)
Zn (0.832, 0.168, 0.250)
Zn (0.832, 0.664, 0.250)

Results
Space group   P6_3/mmc (194)

3.
VASP calculation (GGA-PBE) on a relaxed TlZn2 crystal.

a b c (Å): 6.998 6.998 6.229
angles (deg): 113.81 113.81 27.48
Fractional positions:
Tl (0.030, 0.030, 0.279)
Tl (0.970, 0.970, 0.721)
Zn (0.278, 0.278, 0.368)
Zn (0.328, 0.328, 0.994)
Zn (0.672, 0.672, 0.006)
Zn (0.722, 0.722, 0.632)

Results
Space group   C2/m (12)

4.
VASP calculation (GGA-PBE) on a relaxed Tl2Zn3 crystal.

a b c (Å): 10.949 10.949 10.949
angles (deg): 18.25 18.25 18.25
Fractional positions:
Tl (0.097, 0.097, 0.097)
Tl (0.903, 0.903, 0.903)
Zn (0.307, 0.307, 0.307)
Zn (0.500, 0.500, 0.500)
Zn (0.693, 0.693, 0.693)

Results
E above lowest polymorph   0.068 eV per atom
Space group   R-3m (166)

5.
VASP calculation (GGA-PBE) on a relaxed TlZn2 crystal.

a b c (Å): 6.375 6.375 6.375
angles (deg): 134.00 134.00 67.09
Fractional positions:
Tl (0.250, 0.250, 0.000)
Tl (0.750, 0.750, 0.000)
Zn (0.179, 0.679, 0.858)
Zn (0.321, 0.179, 0.500)
Zn (0.679, 0.821, 0.500)
Zn (0.821, 0.321, 0.142)

Results
Space group   I4/mcm (140)

6.
VASP calculation (GGA-PBE) on a relaxed TlZn crystal.

a b c (Å): 6.828 6.828 7.182
angles (deg): 118.38 118.38 29.93
Fractional positions:
Tl (0.000, 0.000, 0.000)
Tl (0.022, 0.022, 0.528)
Tl (0.733, 0.733, 0.429)
Zn (0.282, 0.282, 0.801)
Zn (0.340, 0.340, 0.204)
Zn (0.679, 0.679, 0.941)

Results
Space group   Cm (8)

7.
VASP calculation (GGA-PBE) on a relaxed TlZn3 crystal.

a b c (Å): 3.132 3.132 8.034
angles (deg): 90.00 90.00 93.01
Fractional positions:
Tl (0.000, 0.000, 0.000)
Zn (0.000, 0.000, 0.500)
Zn (0.500, 0.500, 0.301)
Zn (0.500, 0.500, 0.699)

Results
Space group   Cmmm (65)

8.
VASP calculation (GGA-PBE) on a relaxed TlZn crystal.

a b c (Å): 3.534 3.534 3.890
angles (deg): 90.00 90.00 98.59
Fractional positions:
Tl (0.000, 0.000, 0.000)
Zn (0.500, 0.500, 0.500)

Results
Space group   Cmmm (65)

9.
VASP calculation (GGA-PBE) on a relaxed TlZn7 crystal.

a b c (Å): 5.801 5.801 5.801
angles (deg): 60.00 60.00 60.00
Fractional positions:
Tl (0.000, 0.000, 0.000)
Zn (0.000, 0.000, 0.500)
Zn (0.000, 0.500, 0.000)
Zn (0.000, 0.500, 0.500)
Zn (0.500, 0.000, 0.000)
Zn (0.500, 0.000, 0.500)
Zn (0.500, 0.500, 0.000)
Zn (0.500, 0.500, 0.500)

Results
Space group   Fm-3m (225)

10.
VASP calculation (GGA-PBE) on a relaxed TlZn crystal.

a b c (Å): 8.837 8.837 8.837
angles (deg): 156.49 148.89 39.36
Fractional positions:
Tl (0.000, 0.000, 0.000)
Tl (0.187, 0.687, 0.500)
Tl (0.813, 0.313, 0.500)
Zn (0.373, 0.873, 0.500)
Zn (0.500, 0.500, 0.000)
Zn (0.627, 0.127, 0.500)

Results
Space group   Immm (71)

11.
VASP calculation (GGA-PBE) on a relaxed Tl6Zn crystal.

a b c (Å): 7.475 7.475 7.475
angles (deg): 109.47 109.47 109.47
Fractional positions:
Tl (0.250, 0.500, 0.750)
Tl (0.250, 0.750, 0.500)
Tl (0.500, 0.250, 0.750)
Tl (0.500, 0.750, 0.250)
Tl (0.750, 0.250, 0.500)
Tl (0.750, 0.500, 0.250)
Zn (0.000, 0.000, 0.000)

Results
Space group   Im-3m (229)

12.
VASP calculation (GGA-PBE) on a relaxed Tl4Zn5 crystal.

a b c (Å): 8.924 8.924 6.110
angles (deg): 90.00 90.00 120.00
Fractional positions:
Tl (0.000, 0.000, 0.000)
Tl (0.000, 0.000, 0.500)
Tl (0.000, 0.361, 0.250)
Tl (0.000, 0.639, 0.750)
Tl (0.361, 0.000, 0.250)
Tl (0.361, 0.361, 0.750)
Tl (0.639, 0.000, 0.750)
Tl (0.639, 0.639, 0.250)
Zn (0.000, 0.316, 0.750)
Zn (0.000, 0.684, 0.250)
Zn (0.316, 0.000, 0.750)
Zn (0.316, 0.316, 0.250)
Zn (0.333, 0.667, 0.000)
Zn (0.333, 0.667, 0.500)
Zn (0.667, 0.333, 0.000)
Zn (0.667, 0.333, 0.500)
Zn (0.684, 0.000, 0.250)
Zn (0.684, 0.684, 0.750)

Results
E above lowest polymorph   0.056 eV per atom
Space group   P6_3/mcm (193)

Quick rundown of energy relative to the elements, same order as above: 0.2278, 0.0990, 0.1502, 0.1897, 0.1068, 0.1408, 0.1511, 0.2001, 0.1723, 0.1399, 0.4483, 0.2297 eV per atom
Quick rundown of final energy, same order as above: -1.32, -1.54, -1.49, -1.52, -1.53, -1.68, -1.40, -1.62, -1.24, -1.68, -1.76, -1.53 eV/atom
Quick rundown of D(E_F), same order as above: 1.43, 0.99, 0.87, 2.80, 0.77, 0.92, 1.49, 0.80, 4.28, 0.76, 3.65, 3.50 states/eV/f.u.